(1)
# Al4Zn7Ag | Alexandria | GGA-PBE | relaxed
data_Al4Zn7Ag
_space_group_name_H-M_alt 'P -3 m 1'
_space_group_IT_number 164
_space_group_name_Hall '-P 3 2"'
_cell_length_a 2.8959
_cell_length_b 2.8959
_cell_length_c 26.2201
_cell_angle_alpha 90.00
_cell_angle_beta 90.00
_cell_angle_gamma 120.00
loop_
_atom_site_label
_atom_site_fract_x
_atom_site_fract_y
_atom_site_fract_z
_atom_site_occupancy
Al1 0.3333 0.6667 0.1687 1
Al2 0.3333 0.6667 0.4172 1
Zn1 0.0000 0.0000 0.2515 1
Zn2 0.0000 0.0000 0.5000 1
Zn3 0.3333 0.6667 0.6661 1
Zn4 0.3333 0.6667 0.9145 1
Ag1 0.0000 0.0000 0.0000 1
# Total DFT energy (no corrections), eV per atom: -2.225
# Density of states at the Fermi level, states/eV per atom: 0.28
# Formation energy from the elements, meV per atom: 4

(2)
# AlZnAg2 | Alexandria | GGA-PBE | relaxed
data_AlZnAg2
_space_group_name_H-M_alt 'C m c m'
_space_group_IT_number 63
_space_group_name_Hall '-C 2c 2'
_cell_length_a 2.8303
_cell_length_b 10.7700
_cell_length_c 8.7615
_cell_angle_alpha 90.00
_cell_angle_beta 90.00
_cell_angle_gamma 90.00
loop_
_atom_site_label
_atom_site_fract_x
_atom_site_fract_y
_atom_site_fract_z
_atom_site_occupancy
Al1 0.0000 0.2481 0.2500 1
Zn1 0.0000 0.0246 0.7500 1
Ag1 0.0000 0.3714 0.5247 1
# Total DFT energy (no corrections), eV per atom: -2.688
# Density of states at the Fermi level, states/eV per atom: 0.25
# Formation energy from the elements, meV per atom: -8

(3)
# Al6Zn2Ag3 | Alexandria | GGA-PBE | relaxed
data_Al6Zn2Ag3
_space_group_name_H-M_alt 'R -3 m'
_space_group_IT_number 166
_space_group_name_Hall '-R 3 2"'
_cell_length_a 2.9300
_cell_length_b 2.9300
_cell_length_c 73.6379
_cell_angle_alpha 90.00
_cell_angle_beta 90.00
_cell_angle_gamma 120.00
loop_
_atom_site_label
_atom_site_fract_x
_atom_site_fract_y
_atom_site_fract_z
_atom_site_occupancy
Al1 0.0000 0.0000 0.0914 1
Al2 0.0000 0.0000 0.1824 1
Al3 0.0000 0.0000 0.3638 1
Zn1 0.0000 0.0000 0.4542 1
Ag1 0.0000 0.0000 0.0000 1
Ag2 0.0000 0.0000 0.2724 1
# Total DFT energy (no corrections), eV per atom: -3.055
# Density of states at the Fermi level, states/eV per atom: 0.33
# Formation energy from the elements, meV per atom: -4

(4)
# Al3ZnAg2 | Alexandria | GGA-PBE | relaxed
data_Al3ZnAg2
_space_group_name_H-M_alt 'P 63/m m c'
_space_group_IT_number 194
_space_group_name_Hall '-P 6c 2c'
_cell_length_a 2.9812
_cell_length_b 2.9812
_cell_length_c 26.3342
_cell_angle_alpha 90.00
_cell_angle_beta 90.00
_cell_angle_gamma 120.00
loop_
_atom_site_label
_atom_site_fract_x
_atom_site_fract_y
_atom_site_fract_z
_atom_site_occupancy
Al1 0.0000 0.0000 0.0000 1
Al2 0.3333 0.6667 0.1676 1
Zn1 0.0000 0.0000 0.2500 1
Ag1 0.3333 0.6667 0.5838 1
# Total DFT energy (no corrections), eV per atom: -3.035
# Density of states at the Fermi level, states/eV per atom: 0.48
# Formation energy from the elements, meV per atom: -1

What did the fourth record say?
# Al3ZnAg2 | Alexandria | GGA-PBE | relaxed
data_Al3ZnAg2
_space_group_name_H-M_alt 'P 63/m m c'
_space_group_IT_number 194
_space_group_name_Hall '-P 6c 2c'
_cell_length_a 2.9812
_cell_length_b 2.9812
_cell_length_c 26.3342
_cell_angle_alpha 90.00
_cell_angle_beta 90.00
_cell_angle_gamma 120.00
loop_
_atom_site_label
_atom_site_fract_x
_atom_site_fract_y
_atom_site_fract_z
_atom_site_occupancy
Al1 0.0000 0.0000 0.0000 1
Al2 0.3333 0.6667 0.1676 1
Zn1 0.0000 0.0000 0.2500 1
Ag1 0.3333 0.6667 0.5838 1
# Total DFT energy (no corrections), eV per atom: -3.035
# Density of states at the Fermi level, states/eV per atom: 0.48
# Formation energy from the elements, meV per atom: -1

Question: Number 2 is which compound?
Answer: AlZnAg2

Question: What is the formation energy from the elements in the fourth record?
Answer: -1 meV per atom